NaICl3 | PBE-GGA | relaxed

Computed properties:
Energy above the most stable polymorph in this dataset (eV per atom): 0.555
Formation energy from raw total energies (kJ per mole of atoms): -22

a = 5.1190 Å, b = 5.1190 Å, c = 5.1190 Å
α = 90.00°, β = 90.00°, γ = 90.00°
With the nearest neighbours (Å) after each atom.
Space group Pm-3m (No. 221)
Asymmetric unit:
1 Na 0.0000 0.0000 0.0000 [1 per cell]  6 Cl 2.56
2 I 0.5000 0.5000 0.5000 [1 per cell]  12 Cl 3.62
3 Cl 0.0000 0.0000 0.5000 [3 per cell]  2 Na 2.56



La3TlPd | PBE-GGA | relaxed

Computed properties:
Energy above the most stable polymorph in this dataset (eV per atom): 0.028
Energy of formation from the pure elements (meV/atom): -391

a = 10.4059 Å, b = 14.7857 Å, c = 4.3458 Å
α = 90.00°, β = 90.00°, γ = 90.00°
With the nearest neighbours (Å) after each atom.
Space group Cmmm (No. 65)
Asymmetric unit:
1 La 0.0000 0.1751 0.0000 [4 per cell]  2 Pd 2.83
2 La 0.1985 0.3866 0.5000 [8 per cell]  2 Pd 3.01, 1 La 3.35
3 Tl 0.0000 0.0000 0.5000 [2 per cell]  8 La 3.38-3.56
4 Tl 0.0000 0.5000 0.0000 [2 per cell]  8 La 3.44
5 Pd 0.2500 0.2500 0.0000 [4 per cell]  6 La 2.83-3.01



SrY2O4 | PBE-GGA | relaxed

Computed properties:
Energy above the most stable polymorph in this dataset (eV per atom): 0.000
Formation energy from raw total energies (kJ per mole of atoms): -320

a = 10.1856 Å, b = 3.4368 Å, c = 12.0330 Å
α = 90.00°, β = 90.00°, γ = 90.00°
With the nearest neighbours (Å) after each atom.
Space group Pnma (No. 62)
Asymmetric unit:
1 Sr 0.2463 0.2500 0.1491 [4 per cell]  8 O 2.62-2.91
2 Y 0.0757 0.2500 0.3876 [4 per cell]  6 O 2.27-2.35
3 Y 0.0777 0.2500 0.8896 [4 per cell]  6 O 2.23-2.38
4 O 0.0160 0.7500 0.7839 [4 per cell]  3 Y 2.23-2.27
5 O 0.0760 0.2500 0.5771 [4 per cell]  3 Y 2.28-2.35
6 O 0.1251 0.7500 0.0209 [4 per cell]  3 Y 2.33-2.38
7 O 0.2105 0.7500 0.3258 [4 per cell]  3 Y 2.29-2.32



TiSiAg | PBE-GGA | relaxed

Computed properties:
Formation energy from raw total energies (kJ per mole of atoms): 2

a = 5.2985 Å, b = 9.0451 Å, c = 9.6762 Å
α = 90.00°, β = 90.00°, γ = 90.00°
With the nearest neighbours (Å) after each atom.
Space group Fmmm (No. 69)
Asymmetric unit:
1 Ti 0.2500 0.2500 0.2500 [8 per cell]  4 Si 2.62, 2 Ti 2.65, 4 Ag 2.87
2 Si 0.0000 0.0000 0.2423 [8 per cell]  4 Ti 2.62, 2 Si 2.65, 2 Ag 2.77
3 Ag 0.0000 0.1627 0.0000 [8 per cell]  2 Si 2.77, 4 Ti 2.87, 3 Ag 2.94-3.08



NbNiBi2 | PBE-GGA | relaxed

Computed properties:
Energy of formation from the pure elements (meV/atom): 587

a = 7.5426 Å, b = 7.5426 Å, c = 6.3695 Å
α = 90.00°, β = 90.00°, γ = 90.00°
With the nearest neighbours (Å) after each atom.
Space group I-42d (No. 122)
Asymmetric unit:
1 Nb 0.0000 0.0000 0.0000 [4 per cell]  4 Bi 3.02, 2 Ni 3.18
2 Ni 0.0000 0.0000 0.5000 [4 per cell]  4 Bi 2.57
3 Bi 0.2064 0.2500 0.6250 [8 per cell]  2 Ni 2.57



NbTe2RuI | PBE-GGA | relaxed

Computed properties:
Energy above the most stable polymorph in this dataset (eV per atom): 0.000
Formation energy from raw total energies (kJ per mole of atoms): 100

a = 5.1360 Å, b = 5.1360 Å, c = 5.2053 Å
α = 90.00°, β = 90.00°, γ = 90.00°
With the nearest neighbours (Å) after each atom.
Space group P4/mmm (No. 123)
Asymmetric unit:
1 Nb 0.0000 0.0000 0.0000 [1 per cell]  4 I 3.63, 8 Te 3.66
2 Te 0.0000 0.5000 0.5000 [2 per cell]  2 Ru 2.57
3 Ru 0.5000 0.5000 0.5000 [1 per cell]  4 Te 2.57, 2 I 2.60
4 I 0.5000 0.5000 0.0000 [1 per cell]  2 Ru 2.60



Ba2GdO | PBE-GGA | relaxed

Computed properties:
Formation energy from raw total energies (kJ per mole of atoms): -91

a = 3.8432 Å, b = 3.8432 Å, c = 31.7979 Å
α = 90.00°, β = 90.00°, γ = 120.00°
With the nearest neighbours (Å) after each atom.
Space group R-3m (No. 166, hexagonal axes)
Asymmetric unit:
1 Ba 0.0000 0.0000 0.1169 [6 per cell]  3 O 2.73
2 Gd 0.0000 0.0000 0.0000 [3 per cell]  2 Ba 3.72, 6 Gd 3.84
3 O 0.0000 0.0000 0.5000 [3 per cell]  6 Ba 2.73



TlReSbI2 | PBE-GGA | relaxed

Computed properties:
Energy above the most stable polymorph in this dataset (eV per atom): 0.000
Formation energy from raw total energies (kJ per mole of atoms): 45

a = 5.8267 Å, b = 5.8267 Å, c = 5.1103 Å
α = 90.00°, β = 90.00°, γ = 90.00°
With the nearest neighbours (Å) after each atom.
Space group P4/mmm (No. 123)
Asymmetric unit:
1 Tl 0.0000 0.0000 0.0000 [1 per cell]  8 I 3.88, 4 Sb 4.12
2 Re 0.5000 0.5000 0.5000 [1 per cell]  2 Sb 2.56
3 Sb 0.5000 0.5000 0.0000 [1 per cell]  2 Re 2.56
4 I 0.0000 0.5000 0.5000 [2 per cell]  2 Re 2.91



TaCd2Ag | PBE-GGA | relaxed

Computed properties:
Energy above the most stable polymorph in this dataset (eV per atom): 0.154
Energy of formation from the pure elements (meV/atom): 304

a = 2.8613 Å, b = 4.2965 Å, c = 6.2816 Å
α = 90.00°, β = 90.16°, γ = 90.00°
With the nearest neighbours (Å) after each atom.
Space group P2/m (No. 10)
Asymmetric unit:
1 Ta 0.0000 0.0000 0.0000 [1 per cell]  2 Ta 2.86, 8 Cd 3.03, 2 Ag 3.14
2 Cd 0.5000 0.5000 0.2518 [2 per cell]  4 Cd 2.86-3.16, 4 Ag 3.01-3.02, 4 Ta 3.03
3 Ag 0.0000 0.0000 0.5000 [1 per cell]  2 Ag 2.86, 8 Cd 3.01-3.02, 2 Ta 3.14



Na4In3BiS8 | PBE-GGA | relaxed

Computed properties:
Formation energy from raw total energies (kJ per mole of atoms): -80

a = 7.8216 Å, b = 7.8216 Å, c = 20.2012 Å
α = 90.00°, β = 90.00°, γ = 120.00°
With the nearest neighbours (Å) after each atom.
Space group R-3m (No. 166, hexagonal axes)
Asymmetric unit:
1 Na 0.0000 0.0000 0.0000 [3 per cell]  6 S 2.84
2 Na 0.0000 0.5000 0.0000 [9 per cell]  6 S 2.95
3 In 0.0000 0.5000 0.5000 [9 per cell]  6 S 2.69
4 Bi 0.0000 0.0000 0.5000 [3 per cell]  6 S 2.80
5 S 0.0000 0.0000 0.2391 [6 per cell]  3 In 2.69, 3 Na 2.95
6 S 0.0138 0.5069 0.7580 [18 per cell]  2 In 2.69, 1 Bi 2.80, 3 Na 2.84-2.95



Ac4ZnSe3 | PBE-GGA | relaxed

Computed properties:
Formation energy from raw total energies (kJ per mole of atoms): -141

a = 6.3669 Å, b = 6.3669 Å, c = 12.7826 Å
α = 90.00°, β = 90.00°, γ = 90.00°
With the nearest neighbours (Å) after each atom.
Space group I4/mmm (No. 139)
Asymmetric unit:
1 Ac 0.0000 0.0000 0.2482 [4 per cell]  5 Se 3.17-3.18, 1 Zn 3.22
2 Ac 0.0000 0.5000 0.0000 [4 per cell]  4 Se 3.18-3.20, 2 Zn 3.18
3 Zn 0.0000 0.0000 0.5000 [2 per cell]  6 Ac 3.18-3.22
4 Se 0.0000 0.0000 0.0000 [2 per cell]  6 Ac 3.17-3.18
5 Se 0.0000 0.5000 0.2500 [4 per cell]  6 Ac 3.18-3.20



SiO | PBE-GGA | relaxed

Computed properties:
Formation energy from raw total energies (kJ per mole of atoms): -101

a = 6.6723 Å, b = 9.5661 Å, c = 10.5031 Å
α = 90.00°, β = 90.00°, γ = 90.00°
With the nearest neighbours (Å) after each atom.
Space group Fddd (No. 70, origin choice 2)
Asymmetric unit:
1 Si 0.0658 0.3750 0.3750 [16 per cell]  2 O 1.74
2 O 0.1250 0.0010 0.1250 [16 per cell]  2 Si 1.74



Na2PuGeS4 | PBE-GGA | relaxed

Computed properties:
Formation energy from raw total energies (kJ per mole of atoms): -104

a = 6.9049 Å, b = 3.9741 Å, c = 6.9147 Å
α = 90.00°, β = 108.91°, γ = 90.00°
With the nearest neighbours (Å) after each atom.
Space group P2/m (No. 10)
Asymmetric unit:
1 Na 0.0000 0.0000 0.0000 [1 per cell]  6 S 2.92-2.94
2 Na 0.5000 0.5000 0.0000 [1 per cell]  6 S 2.94-2.97
3 Pu 0.0000 0.5000 0.5000 [1 per cell]  6 S 2.66-2.72
4 Ge 0.5000 0.0000 0.5000 [1 per cell]  6 S 2.71-2.73
5 S 0.2401 0.0000 0.7212 [2 per cell]  1 Ge 2.71, 2 Pu 2.72, 3 Na 2.92-2.94
6 S 0.2543 0.5000 0.2820 [2 per cell]  1 Pu 2.66, 2 Ge 2.73, 3 Na 2.94-2.97



YMo2Rh | PBE-GGA | relaxed

Computed properties:
Energy above the most stable polymorph in this dataset (eV per atom): 0.285
Energy of formation from the pure elements (meV/atom): 251

a = 3.1482 Å, b = 3.1482 Å, c = 25.9563 Å
α = 90.00°, β = 90.00°, γ = 120.00°
With the nearest neighbours (Å) after each atom.
Space group R3m (No. 160, hexagonal axes)
Asymmetric unit:
1 Y 0.0000 0.0000 0.0000 [3 per cell]  3 Rh 2.93, 3 Mo 3.10, 6 Y 3.15
2 Mo 0.0000 0.0000 0.5005 [3 per cell]  3 Mo 2.58, 3 Rh 2.71
3 Mo 0.0000 0.0000 0.7634 [3 per cell]  3 Mo 2.58
4 Rh 0.0000 0.0000 0.2447 [3 per cell]  3 Mo 2.71, 3 Y 2.93